Entry from the Alexandria database: a relaxed LaCd2SbH crystal (PBE).

Electronic total energy (eV/atom): -3.21
DOS at the Fermi energy (states/eV per cell): 1.9
Calculated volume (Å³ per cell): 109.53
Total magnetization (μB per cell): 0.0

Structure (POSCAR):
```
LaCd2SbH
1.0
4.747 0.000 0.000
0.000 4.747 0.000
0.000 0.000 4.861
La Cd Sb H
1 2 1 1
Cartesian
0.000 0.000 0.000 La
0.000 2.374 2.430 Cd
2.374 0.000 2.430 Cd
2.374 2.374 0.000 Sb
0.000 0.000 2.430 H
```